A relaxed Ac6AgGe5 crystal. Source: the Alexandria database, functional PBE-GGA.

abc: 7.8284 8.0810 8.1110
angles: 60.12 80.00 69.60
Last column: nearest neighbours and their distance in Å.
Positions (direct):
Ac  0.7386  0.0879  0.3419  5 Ge 3.23-3.28, 1 Ag 3.37
Ac  0.2614  0.5702  0.3419  5 Ge 3.23-3.28, 1 Ag 3.37
Ac  0.7475  0.7423  0.0000  5 Ge 3.20-3.27, 1 Ag 3.33
Ac  0.2614  0.9121  0.6581  5 Ge 3.23-3.28, 1 Ag 3.37
Ac  0.2525  0.2577  0.0000  5 Ge 3.20-3.27, 1 Ag 3.33
Ac  0.7386  0.4298  0.6581  5 Ge 3.23-3.28, 1 Ag 3.37
Ge  0.5000  0.1596  0.6809  6 Ac 3.21-3.26
Ge  0.5000  0.8404  0.3191  6 Ac 3.21-3.26
Ge  0.5000  0.5000  0.0000  6 Ac 3.20-3.25
Ge  0.0000  0.3313  0.3373  6 Ac 3.27-3.28
Ge  0.0000  0.6687  0.6627  6 Ac 3.27-3.28
Ag  0.0000  0.0000  0.0000  6 Ac 3.33-3.37

energy of formation from the pure elements	-0.5035	eV/atom
density of states at the Fermi level	16.8	states/eV/f.u.